Record 1
! Ba2ZnAu (GGA-PBEsol, optimized geometry); values from VASP
&SYSTEM
  ibrav = 0, nat = 4, ntyp = 3
/
ATOMIC_SPECIES
Zn 65.41 Zn.upf
Ba 137.33 Ba.upf
Au 196.97 Au.upf
CELL_PARAMETERS angstrom
4.6508 0.0000 0.0000
2.3254 4.0277 0.0000
2.3254 1.3426 7.9284
ATOMIC_POSITIONS angstrom
Zn 4.6508 2.6851 3.9642
Ba 2.3254 1.3426 1.8419
Ba 6.9762 4.0277 6.0864
Au 0.0000 0.0000 0.0000
! Magnetic moment, μB/f.u.: 0.0
! Calculated formation energy, kJ/mol of atoms: -24.9
! Calculated volume, Å³ per atom: 37.1

Record 2
! HfBe3Ni (GGA-PBEsol, optimized geometry); values from VASP
&SYSTEM
  ibrav = 0, nat = 5, ntyp = 3
/
ATOMIC_SPECIES
Be 9.01 Be.upf
Hf 178.49 Hf.upf
Ni 58.69 Ni.upf
CELL_PARAMETERS angstrom
-2.5667 -1.1499 -2.6867
-0.9336 -3.0658 2.2041
-2.7693 2.0993 1.7471
ATOMIC_POSITIONS angstrom
Be -1.3847 1.0497 0.8735
Be -1.2834 -0.5750 -1.3434
Be -0.4668 -1.5329 1.1020
Hf -3.1348 -1.0582 0.6322
Ni 0.0000 0.0000 0.0000
! Magnetic moment, μB/f.u.: 0.0
! Calculated formation energy, kJ/mol of atoms: -0.9
! Calculated volume, Å³ per atom: 11.8
! Polymorph energy (0 for the lowest one), eV/atom: 0.0000

Record 3
! BaSr3Zn (GGA-PBEsol, optimized geometry); values from VASP
&SYSTEM
  ibrav = 0, nat = 5, ntyp = 3
/
ATOMIC_SPECIES
Sr 87.62 Sr.upf
Ba 137.33 Ba.upf
Zn 65.41 Zn.upf
CELL_PARAMETERS angstrom
6.2124 0.0000 0.0000
0.0000 6.2124 0.0000
0.0000 0.0000 6.2124
ATOMIC_POSITIONS angstrom
Sr 0.0000 0.0000 3.1062
Sr 3.1062 0.0000 0.0000
Sr 0.0000 3.1062 0.0000
Ba 3.1062 3.1062 3.1062
Zn 0.0000 0.0000 0.0000
! Magnetic moment, μB/f.u.: 0.0
! Calculated formation energy, kJ/mol of atoms: 0.0
! Calculated volume, Å³ per atom: 48.0